Entry 1:
## KNiAg2 (PBE)

Data for crystalline KNiAg2 at its relaxed geometry.

a b c (Å): 4.907 4.907 4.907
angles (deg): 60.00 60.00 60.00
Fractional coordinates of all 4 atoms:
Ni1 0.500 0.500 0.500
K1 0.000 0.000 0.000
Ag1 0.250 0.250 0.250
Ag2 0.750 0.750 0.750

Energy of formation   0.608 eV/atom
Relative energy among the computed polymorphs   291 meV/atom

Entry 2:
## LiLaW2 (PBE)

Data for crystalline LiLaW2 at its relaxed geometry.

a b c (Å): 3.291 3.291 7.670
angles (deg): 90.00 90.00 90.00
Fractional coordinates of all 4 atoms:
La1 0.000 0.000 0.480
Li1 0.500 0.500 0.811
W1 0.000 0.000 0.023
W2 0.500 0.500 0.186

Energy of formation   0.449 eV/atom
Relative energy among the computed polymorphs   0 meV/atom

Entry 3:
## TmCr2B6 (PBE)

Data for crystalline TmCr2B6 at its relaxed geometry.

a b c (Å): 3.342 5.274 5.274
angles (deg): 120.00 90.00 90.00
Fractional coordinates of all 9 atoms:
Tm1 0.000 0.000 0.000
Cr1 0.000 0.333 0.667
Cr2 0.000 0.667 0.333
B1 0.500 0.342 0.342
B2 0.500 0.658 0.658
B3 0.500 0.000 0.658
B4 0.500 0.658 0.000
B5 0.500 0.342 0.000
B6 0.500 0.000 0.342

Energy of formation   -0.407 eV/atom

Entry 4:
## K2HgMo (PBE)

Data for crystalline K2HgMo at its relaxed geometry.

a b c (Å): 5.335 3.914 7.479
angles (deg): 58.22 90.00 90.00
Fractional coordinates of all 4 atoms:
Hg1 0.500 0.750 0.750
K1 0.000 0.002 0.997
K2 0.000 0.498 0.503
Mo1 0.500 0.250 0.250

Energy of formation   1.014 eV/atom

Entry 5:
## Be2ZnIrO8 (PBE)

Data for crystalline Be2ZnIrO8 at its relaxed geometry.

a b c (Å): 5.256 5.256 5.568
angles (deg): 90.00 90.00 120.00
Fractional coordinates of all 12 atoms:
Be1 0.667 0.333 0.285
Be2 0.333 0.667 0.715
Zn1 0.000 0.000 0.500
Ir1 0.000 0.000 0.000
O1 0.837 0.163 0.215
O2 0.837 0.675 0.215
O3 0.325 0.163 0.215
O4 0.675 0.837 0.785
O5 0.333 0.667 0.415
O6 0.667 0.333 0.585
O7 0.163 0.837 0.785
O8 0.163 0.325 0.785

Uncorrected formation energy   -0.81 eV/atom

Entry 6:
## TbSm5Hg2 (PBE)

Data for crystalline TbSm5Hg2 at its relaxed geometry.

a b c (Å): 3.721 8.351 8.351
angles (deg): 78.88 77.13 77.13
Fractional coordinates of all 8 atoms:
Tb1 0.000 0.000 0.000
Sm1 0.000 0.500 0.500
Sm2 0.638 0.582 0.142
Sm3 0.362 0.418 0.858
Sm4 0.362 0.858 0.418
Sm5 0.638 0.142 0.582
Hg1 0.728 0.772 0.772
Hg2 0.272 0.228 0.228

Energy of formation   -0.153 eV/atom

Entry 7:
## Pm6NdDy4 (PBE)

Data for crystalline Pm6NdDy4 at its relaxed geometry.

a b c (Å): 5.885 5.667 25.862
angles (deg): 90.00 90.00 121.28
Fractional coordinates of all 22 atoms:
Pm1 0.500 0.000 0.000
Pm2 0.500 0.000 0.500
Pm3 0.116 0.233 0.319
Pm4 0.884 0.767 0.681
Pm5 0.884 0.767 0.819
Pm6 0.116 0.233 0.181
Pm7 0.795 0.591 0.400
Pm8 0.205 0.409 0.600
Pm9 0.205 0.409 0.900
Pm10 0.795 0.591 0.100
Pm11 0.442 0.885 0.250
Pm12 0.558 0.115 0.750
Nd1 0.782 0.564 0.250
Nd2 0.218 0.436 0.750
Dy1 0.852 0.704 0.543
Dy2 0.451 0.901 0.123
Dy3 0.148 0.296 0.457
Dy4 0.549 0.099 0.877
Dy5 0.852 0.704 0.957
Dy6 0.148 0.296 0.043
Dy7 0.549 0.099 0.623
Dy8 0.451 0.901 0.377

Energy of formation   0.115 eV/atom
Relative energy among the computed polymorphs   0 meV/atom

Entry 8:
## Sr3ZrMn (PBE)

Data for crystalline Sr3ZrMn at its relaxed geometry.

a b c (Å): 6.025 6.025 6.025
angles (deg): 90.00 90.00 90.00
Fractional coordinates of all 5 atoms:
Sr1 0.000 0.500 0.000
Sr2 0.000 0.000 0.500
Sr3 0.500 0.000 0.000
Mn1 0.500 0.500 0.500
Zr1 0.000 0.000 0.000

Energy of formation   1.207 eV/atom
Relative energy among the computed polymorphs   255 meV/atom

Number 1: D(E_F) 1.8 states/eV/f.u.. Number 2: D(E_F) 5.3 states/eV/f.u.. Number 3: D(E_F) 2.2 states/eV/f.u.. Number 4: D(E_F) 2.4 states/eV/f.u.. Number 5: D(E_F) 4.9 states/eV/f.u.. Number 6: D(E_F) 7.5 states/eV/f.u.. Number 7: D(E_F) 19.5 states/eV/f.u.. Number 8: D(E_F) 6.9 states/eV/f.u..